Computed, not measured: a relaxed LaSn2Bi2 crystal at the GGA-PBE level of DFT.

Results
- D(E_F) (states/eV/cell) = 9.02
- ΔE_f (eV/atom) = -0.260
- distance to the lowest polymorph of the same formula (meV per atom) = 156

a b c (Å): 8.5213 8.5213 4.3074
angles (deg): 90.00 90.00 90.00
Fractional coordinates of all 10 atoms:
1 La 0.0000 0.0000 0.0000
2 La 0.5000 0.5000 0.0000
3 Sn 0.1250 0.3750 0.0000
4 Sn 0.3750 0.8750 0.0000
5 Sn 0.6250 0.1250 0.0000
6 Sn 0.8750 0.6250 0.0000
7 Bi 0.1866 0.6866 0.5000
8 Bi 0.3134 0.1866 0.5000
9 Bi 0.6866 0.8134 0.5000
10 Bi 0.8134 0.3134 0.5000

Computed, not measured: a relaxed SrLaSnBi crystal at the GGA-PBE level of DFT.

Results
- D(E_F) (states/eV/cell) = 4.32
- ΔE_f (eV/atom) = -0.641

a b c (Å): 5.7380 5.7380 5.7380
angles (deg): 60.00 60.00 60.00
Fractional coordinates of all 4 atoms:
1 Sr 0.0000 0.0000 0.0000
2 La 0.5000 0.5000 0.5000
3 Sn 0.2500 0.2500 0.2500
4 Bi 0.7500 0.7500 0.7500

Computed, not measured: a relaxed La8SnBi4Te3 crystal at the GGA-PBE level of DFT.

Results
- D(E_F) (states/eV/cell) = 4.37
- raw formation energy (meV per atom) = -1255

a b c (Å): 9.3097 9.3097 9.3097
angles (deg): 60.05 60.05 60.05
Fractional coordinates of all 16 atoms:
1 La 0.2459 0.7532 0.7532
2 La 0.2468 0.2468 0.7541
3 La 0.2468 0.7541 0.2468
4 La 0.2490 0.2490 0.2490
5 La 0.7510 0.7510 0.7510
6 La 0.7532 0.2459 0.7532
7 La 0.7532 0.7532 0.2459
8 La 0.7541 0.2468 0.2468
9 Sn 0.0000 0.0000 0.0000
10 Bi 0.0000 0.0000 0.5000
11 Bi 0.0000 0.5000 0.0000
12 Bi 0.5000 0.0000 0.0000
13 Bi 0.5000 0.5000 0.5000
14 Te 0.0000 0.5000 0.5000
15 Te 0.5000 0.0000 0.5000
16 Te 0.5000 0.5000 0.0000

Computed, not measured: a relaxed La6SnBi2Te3 crystal at the GGA-PBE level of DFT.

Results
- D(E_F) (states/eV/cell) = 4.91
- raw formation energy (meV per atom) = -1307

a b c (Å): 10.3707 10.3707 9.2651
angles (deg): 102.54 102.54 25.94
Fractional coordinates of all 12 atoms:
1 La 0.9998 0.9998 0.2419
2 La 0.0002 0.0002 0.7581
3 La 0.3334 0.3334 0.4174
4 La 0.3369 0.3369 0.9180
5 La 0.6631 0.6631 0.0820
6 La 0.6666 0.6666 0.5826
7 Sn 0.5000 0.5000 0.0000
8 Bi 0.1670 0.1670 0.3343
9 Bi 0.8330 0.8330 0.6657
10 Te 0.1681 0.1681 0.8334
11 Te 0.5000 0.5000 0.5000
12 Te 0.8319 0.8319 0.1666

Computed, not measured: a relaxed La8SnBi3Te4 crystal at the GGA-PBE level of DFT.

Results
- D(E_F) (states/eV/cell) = 6.29
- raw formation energy (meV per atom) = -1319

a b c (Å): 9.2686 9.2686 9.2686
angles (deg): 60.31 60.31 60.31
Fractional coordinates of all 16 atoms:
1 La 0.2495 0.2495 0.2495
2 La 0.2534 0.7460 0.7460
3 La 0.2540 0.2540 0.7466
4 La 0.2540 0.7466 0.2540
5 La 0.7460 0.2534 0.7460
6 La 0.7460 0.7460 0.2534
7 La 0.7466 0.2540 0.2540
8 La 0.7505 0.7505 0.7505
9 Sn 0.5000 0.5000 0.5000
10 Bi 0.0000 0.0000 0.5000
11 Bi 0.0000 0.5000 0.0000
12 Bi 0.5000 0.0000 0.0000
13 Te 0.0000 0.0000 0.0000
14 Te 0.0000 0.5000 0.5000
15 Te 0.5000 0.0000 0.5000
16 Te 0.5000 0.5000 0.0000

Computed, not measured: a relaxed La6Sn2BiTe3 crystal at the GGA-PBE level of DFT.

Results
- D(E_F) (states/eV/cell) = 2.79
- raw formation energy (meV per atom) = -1263

a b c (Å): 10.3542 10.3542 9.2647
angles (deg): 102.49 102.49 25.94
Fractional coordinates of all 12 atoms:
1 La 0.0034 0.0034 0.2507
2 La 0.3310 0.3310 0.4225
3 La 0.3331 0.3331 0.9089
4 La 0.6669 0.6669 0.0911
5 La 0.6690 0.6690 0.5775
6 La 0.9966 0.9966 0.7493
7 Sn 0.1665 0.1665 0.3323
8 Sn 0.8335 0.8335 0.6677
9 Bi 0.5000 0.5000 0.0000
10 Te 0.1653 0.1653 0.8332
11 Te 0.5000 0.5000 0.5000
12 Te 0.8347 0.8347 0.1668

Computed, not measured: a relaxed LaTl2SnBi crystal at the GGA-PBE level of DFT.

Results
- D(E_F) (states/eV/cell) = 3.70
- ΔE_f (eV/atom) = 0.221

a b c (Å): 5.5453 5.5453 5.9487
angles (deg): 90.00 90.00 90.00
Fractional coordinates of all 5 atoms:
1 La 0.0000 0.0000 0.0000
2 Tl 0.0000 0.5000 0.5000
3 Tl 0.5000 0.0000 0.5000
4 Sn 0.5000 0.5000 0.5000
5 Bi 0.5000 0.5000 0.0000

Computed, not measured: a relaxed SrLaBi3 crystal at the GGA-PBE level of DFT.

Results
- D(E_F) (states/eV/cell) = 4.09
- ΔE_f (eV/atom) = 0.199
- distance to the lowest polymorph of the same formula (meV per atom) = 307

a b c (Å): 5.9274 5.9274 5.9274
angles (deg): 90.00 90.00 90.00
Fractional coordinates of all 5 atoms:
1 Sr 0.0000 0.0000 0.0000
2 La 0.5000 0.5000 0.5000
3 Bi 0.0000 0.0000 0.5000
4 Bi 0.0000 0.5000 0.0000
5 Bi 0.5000 0.0000 0.0000

Number 1: calculated volume 31.28 Å³ per atom, size of the total moment 0.00 μB/f.u.. Number 2: calculated volume 33.40 Å³ per atom, size of the total moment 0.00 μB/f.u.. Number 3: calculated volume 35.70 Å³ per atom, size of the total moment 0.00 μB/f.u.. Number 4: calculated volume 35.41 Å³ per atom, size of the total moment 0.00 μB/f.u.. Number 5: calculated volume 35.43 Å³ per atom, size of the total moment 0.00 μB/f.u.. Number 6: calculated volume 35.31 Å³ per atom, size of the total moment 0.00 μB/f.u.. Number 7: calculated volume 36.58 Å³ per atom, size of the total moment 0.00 μB/f.u.. Number 8: calculated volume 41.65 Å³ per atom, size of the total moment 0.00 μB/f.u..